YSc3Ir at its PBEsol-relaxed geometry. Source: the Alexandria database, functional meta-GGA SCAN. Values from VASP.

Computed properties:
space group = No. 221
calculated formation energy = 1.3769 eV/atom

```
&SYSTEM
  ibrav = 0, nat = 5, ntyp = 3
/
ATOMIC_SPECIES
Y 88.91 Y.upf
Sc 44.96 Sc.upf
Ir 192.22 Ir.upf
ATOMIC_POSITIONS crystal
Y 0.000 0.000 0.000
Sc 0.000 0.000 0.500
Sc 0.000 0.500 0.000
Sc 0.500 0.000 0.000
Ir 0.500 0.500 0.500
CELL_PARAMETERS angstrom
4.755 0.000 0.000
0.000 4.755 0.000
0.000 0.000 4.755
```

=====

Y2SiAg at its PBEsol-relaxed geometry. Source: the Alexandria database, functional meta-GGA SCAN. Values from VASP.

Computed properties:
space group = No. 38
uncorrected formation energy = -2.5 eV per formula unit

```
&SYSTEM
  ibrav = 0, nat = 4, ntyp = 3
/
ATOMIC_SPECIES
Y 88.91 Y.upf
Si 28.09 Si.upf
Ag 107.87 Ag.upf
ATOMIC_POSITIONS crystal
Y 0.000 0.000 0.000
Y 0.500 0.282 0.282
Si 0.500 0.559 0.559
Ag 0.000 0.713 0.713
CELL_PARAMETERS angstrom
4.208 0.000 0.000
0.000 2.014 5.397
0.000 -2.014 5.397
```

=====

IrRu2Rh at its PBEsol-relaxed geometry. Source: the Alexandria database, functional meta-GGA SCAN. Values from VASP.

Computed properties:
space group = No. 99
calculated formation energy = 0.0094 eV/atom

```
&SYSTEM
  ibrav = 0, nat = 4, ntyp = 3
/
ATOMIC_SPECIES
Ir 192.22 Ir.upf
Ru 101.07 Ru.upf
Rh 102.91 Rh.upf
ATOMIC_POSITIONS crystal
Ir 0.000 0.000 0.000
Ru 0.000 0.000 0.506
Ru 0.500 0.500 0.751
Rh 0.500 0.500 0.257
CELL_PARAMETERS angstrom
2.673 0.000 0.000
0.000 2.673 0.000
0.000 0.000 7.575
```

=====

ZrHRu2 at its PBEsol-relaxed geometry. Source: the Alexandria database, functional meta-GGA SCAN. Values from VASP.

Computed properties:
space group = No. 225
final energy = -101.481 eV/cell

```
&SYSTEM
  ibrav = 0, nat = 4, ntyp = 3
/
ATOMIC_SPECIES
Zr 91.22 Zr.upf
H 1.01 H.upf
Ru 101.07 Ru.upf
ATOMIC_POSITIONS crystal
Zr 0.000 0.000 0.000
H 0.500 0.500 0.500
Ru 0.250 0.250 0.250
Ru 0.750 0.750 0.750
CELL_PARAMETERS angstrom
0.000 3.001 3.001
3.001 0.000 3.001
3.001 3.001 0.000
```

=====

SrLaTe2 at its PBEsol-relaxed geometry. Source: the Alexandria database, functional meta-GGA SCAN. Values from VASP.

Computed properties:
space group = No. 38
uncorrected formation energy = -6.5 eV per formula unit

```
&SYSTEM
  ibrav = 0, nat = 4, ntyp = 3
/
ATOMIC_SPECIES
Sr 87.62 Sr.upf
La 138.91 La.upf
Te 127.60 Te.upf
ATOMIC_POSITIONS crystal
Sr 0.000 0.000 0.000
La 0.500 0.244 0.244
Te 0.000 0.742 0.742
Te 0.500 0.510 0.510
CELL_PARAMETERS angstrom
5.030 0.000 0.000
0.000 2.083 6.186
0.000 -2.083 6.186
```

=====

Li2CaRe at its PBEsol-relaxed geometry. Source: the Alexandria database, functional meta-GGA SCAN. Values from VASP.

Computed properties:
space group = No. 12
calculated formation energy = 0.5896 eV/atom

```
&SYSTEM
  ibrav = 0, nat = 4, ntyp = 3
/
ATOMIC_SPECIES
Li 6.94 Li.upf
Ca 40.08 Ca.upf
Re 186.21 Re.upf
ATOMIC_POSITIONS crystal
Li 0.000 0.500 0.000
Li 0.500 0.000 0.000
Ca 0.000 0.000 0.500
Re 0.500 0.500 0.500
CELL_PARAMETERS angstrom
2.948 -4.890 0.000
2.948 4.890 0.000
-1.014 0.000 2.417
```

=====

MnSi2Ag at its PBEsol-relaxed geometry. Source: the Alexandria database, functional meta-GGA SCAN. Values from VASP.

Computed properties:
space group = No. 122
uncorrected formation energy = 0.9 eV per formula unit

```
&SYSTEM
  ibrav = 0, nat = 8, ntyp = 3
/
ATOMIC_SPECIES
Mn 54.94 Mn.upf
Si 28.09 Si.upf
Ag 107.87 Ag.upf
ATOMIC_POSITIONS crystal
Mn 0.000 0.000 0.000
Mn 0.750 0.250 0.500
Si 0.084 0.625 0.959
Si 0.375 0.334 0.459
Si 0.666 0.125 0.041
Si 0.875 0.916 0.541
Ag 0.250 0.750 0.500
Ag 0.500 0.500 0.000
CELL_PARAMETERS angstrom
-1.948 1.948 8.157
1.948 -1.948 8.157
1.948 1.948 -8.157
```

=====

LiHfOs3 at its PBEsol-relaxed geometry. Source: the Alexandria database, functional meta-GGA SCAN. Values from VASP.

Computed properties:
space group = No. 221
calculated formation energy = 2.1331 eV/atom

```
&SYSTEM
  ibrav = 0, nat = 5, ntyp = 3
/
ATOMIC_SPECIES
Li 6.94 Li.upf
Hf 178.49 Hf.upf
Os 190.23 Os.upf
ATOMIC_POSITIONS crystal
Li 0.000 0.000 0.000
Hf 0.500 0.500 0.500
Os 0.000 0.500 0.500
Os 0.500 0.000 0.500
Os 0.500 0.500 0.000
CELL_PARAMETERS angstrom
4.785 0.000 0.000
0.000 4.785 0.000
0.000 0.000 4.785
```

=====

BeFePbF2 at its PBEsol-relaxed geometry. Source: the Alexandria database, functional meta-GGA SCAN. Values from VASP.

Computed properties:
space group = No. 123
uncorrected formation energy = -6.1 eV per formula unit

```
&SYSTEM
  ibrav = 0, nat = 5, ntyp = 4
/
ATOMIC_SPECIES
Be 9.01 Be.upf
Fe 55.84 Fe.upf
Pb 207.20 Pb.upf
F 19.00 F.upf
ATOMIC_POSITIONS crystal
Be 0.000 0.000 0.000
Fe 0.500 0.500 0.500
Pb 0.000 0.000 0.500
F 0.000 0.500 0.000
F 0.500 0.000 0.000
CELL_PARAMETERS angstrom
3.467 0.000 0.000
0.000 3.467 0.000
0.000 0.000 7.149
```

=====

RbNaLi3 at its PBEsol-relaxed geometry. Source: the Alexandria database, functional meta-GGA SCAN. Values from VASP.

Computed properties:
space group = No. 221
calculated formation energy = 0.2704 eV/atom

```
&SYSTEM
  ibrav = 0, nat = 5, ntyp = 3
/
ATOMIC_SPECIES
Rb 85.47 Rb.upf
Na 22.99 Na.upf
Li 6.94 Li.upf
ATOMIC_POSITIONS crystal
Rb 0.000 0.000 0.000
Na 0.500 0.500 0.500
Li 0.000 0.500 0.500
Li 0.500 0.000 0.500
Li 0.500 0.500 0.000
CELL_PARAMETERS angstrom
5.828 0.000 0.000
0.000 5.828 0.000
0.000 0.000 5.828
```

=====

SiMoW4 at its PBEsol-relaxed geometry. Source: the Alexandria database, functional meta-GGA SCAN. Values from VASP.

Computed properties:
space group = No. 216
uncorrected formation energy = 3.5 eV per formula unit

```
&SYSTEM
  ibrav = 0, nat = 6, ntyp = 3
/
ATOMIC_SPECIES
Si 28.09 Si.upf
Mo 95.94 Mo.upf
W 183.84 W.upf
ATOMIC_POSITIONS crystal
Si 0.000 0.000 0.000
Mo 0.750 0.750 0.750
W 0.375 0.375 0.375
W 0.375 0.375 0.875
W 0.375 0.875 0.375
W 0.875 0.375 0.375
CELL_PARAMETERS angstrom
0.000 3.658 3.658
3.658 0.000 3.658
3.658 3.658 0.000
```

=====

RbHfBi2Au at its PBEsol-relaxed geometry. Source: the Alexandria database, functional meta-GGA SCAN. Values from VASP.

Computed properties:
space group = No. 123
calculated formation energy = 1.7740 eV/atom

```
&SYSTEM
  ibrav = 0, nat = 5, ntyp = 4
/
ATOMIC_SPECIES
Rb 85.47 Rb.upf
Hf 178.49 Hf.upf
Bi 208.98 Bi.upf
Au 196.97 Au.upf
ATOMIC_POSITIONS crystal
Rb 0.000 0.000 0.000
Hf 0.500 0.500 0.500
Bi 0.000 0.500 0.000
Bi 0.500 0.000 0.000
Au 0.000 0.000 0.500
CELL_PARAMETERS angstrom
5.699 0.000 0.000
0.000 5.699 0.000
0.000 0.000 5.244
```

=====

Magnetic moment per entry: 0.0 0.0 0.0 0.0 0.0 0.0 3.4 1.9 2.0 0.0 0.0 0.0 μB/f.u.
Volume per entry: 107 91 54 54 130 70 124 110 86 198 98 170 Å³/cell